No. 1
Computed, not measured: a geometry-optimized KRb structure at the PBE level of DFT.

```
data_KRb
_chemical_formula_sum 'K2 Rb2'
_cell_length_a 7.6877
_cell_length_b 7.6877
_cell_length_c 8.8992
_cell_angle_alpha 90.00
_cell_angle_beta 90.00
_cell_angle_gamma 120.00
_space_group_name_H-M_alt 'P 1'
_space_group_IT_number 1
loop_
_space_group_symop_operation_xyz
'x,y,z'
loop_
_atom_site_label
_atom_site_fract_x
_atom_site_fract_y
_atom_site_fract_z
K1 0.3333 0.6667 0.2500
K2 0.6667 0.3333 0.7500
Rb1 0.6667 0.3333 0.2500
Rb2 0.3333 0.6667 0.7500
```

Results
The calculation puts the calculated formation energy at 0.21 eV per atom. Its calculated volume is 455 Å³/cell. The total magnetic moment comes out at 0.00 μB per cell. For the distance to the lowest polymorph of the same formula, the calculation gives 20.10 kJ per mole of atoms.


No. 2
Computed, not measured: a geometry-optimized Ca2FePtN structure at the PBE level of DFT.

```
data_Ca2FePtN
_chemical_formula_sum 'Ca2 Fe1 Pt1 N1'
_cell_length_a 5.0019
_cell_length_b 5.0019
_cell_length_c 3.5419
_cell_angle_alpha 90.00
_cell_angle_beta 90.00
_cell_angle_gamma 90.00
_space_group_name_H-M_alt 'P 1'
_space_group_IT_number 1
loop_
_space_group_symop_operation_xyz
'x,y,z'
loop_
_atom_site_label
_atom_site_fract_x
_atom_site_fract_y
_atom_site_fract_z
Fe1 0.0000 0.0000 0.5000
N1 0.0000 0.0000 0.0000
Pt1 0.5000 0.5000 0.5000
Ca1 0.0000 0.5000 0.0000
Ca2 0.5000 0.0000 0.0000
```

Results
Its calculated volume is 89 Å³/cell. The total magnetic moment comes out at 0.91 μB per cell. The uncorrected formation energy comes out at -619 meV per atom.


No. 3
Computed, not measured: a geometry-optimized La5Tb2NdEr structure at the PBE level of DFT.

```
data_La5Tb2NdEr
_chemical_formula_sum 'La10 Tb4 Nd2 Er2'
_cell_length_a 9.5479
_cell_length_b 9.5479
_cell_length_c 9.7986
_cell_angle_alpha 119.16
_cell_angle_beta 119.16
_cell_angle_gamma 90.00
_space_group_name_H-M_alt 'P 1'
_space_group_IT_number 1
loop_
_space_group_symop_operation_xyz
'x,y,z'
loop_
_atom_site_label
_atom_site_fract_x
_atom_site_fract_y
_atom_site_fract_z
Er1 0.2500 0.7500 0.5000
Er2 0.7500 0.2500 0.5000
La1 0.0671 0.5671 0.7300
La2 0.4329 0.3371 0.2700
La3 0.6629 0.1629 0.7300
La4 0.5000 0.5000 0.0000
La5 0.1629 0.0671 0.7300
La6 0.0000 0.0000 0.0000
La7 0.8371 0.9329 0.2700
La8 0.3371 0.8371 0.2700
La9 0.9329 0.4329 0.2700
La10 0.5671 0.6629 0.7300
Nd1 0.2500 0.2500 0.5000
Nd2 0.7500 0.7500 0.5000
Tb1 0.1083 0.3917 0.0000
Tb2 0.3917 0.8917 0.0000
Tb3 0.6083 0.1083 0.0000
Tb4 0.8917 0.6083 0.0000
```

Results
The calculation puts the calculated formation energy at 0.28 eV per atom. Its calculated volume is 647 Å³/cell. The total magnetic moment comes out at 0.00 μB per cell.


No. 4
Computed, not measured: a geometry-optimized CaTiAl3 structure at the PBE level of DFT.

```
data_CaTiAl3
_chemical_formula_sum 'Ca1 Ti1 Al3'
_cell_length_a 5.2279
_cell_length_b 5.2279
_cell_length_c 5.2279
_cell_angle_alpha 90.00
_cell_angle_beta 90.00
_cell_angle_gamma 90.00
_space_group_name_H-M_alt 'P 1'
_space_group_IT_number 1
loop_
_space_group_symop_operation_xyz
'x,y,z'
loop_
_atom_site_label
_atom_site_fract_x
_atom_site_fract_y
_atom_site_fract_z
Al1 0.5000 0.0000 0.0000
Al2 0.0000 0.5000 0.0000
Al3 0.0000 0.0000 0.5000
Ti1 0.5000 0.5000 0.5000
Ca1 0.0000 0.0000 0.0000
```

Results
The calculation puts the calculated formation energy at 1.46 eV per atom. Its calculated volume is 143 Å³/cell. The total magnetic moment comes out at 1.81 μB per cell. For the distance to the lowest polymorph of the same formula, the calculation gives 116.55 kJ per mole of atoms.


No. 5
Computed, not measured: a geometry-optimized KTa2Hg structure at the PBE level of DFT.

```
data_KTa2Hg
_chemical_formula_sum 'K1 Ta2 Hg1'
_cell_length_a 6.8390
_cell_length_b 6.8390
_cell_length_c 5.3851
_cell_angle_alpha 66.91
_cell_angle_beta 66.91
_cell_angle_gamma 23.43
_space_group_name_H-M_alt 'P 1'
_space_group_IT_number 1
loop_
_space_group_symop_operation_xyz
'x,y,z'
loop_
_atom_site_label
_atom_site_fract_x
_atom_site_fract_y
_atom_site_fract_z
K1 0.7500 0.7500 0.7500
Ta1 0.9679 0.9679 0.0321
Ta2 0.5321 0.5321 0.4679
Hg1 0.2500 0.2500 0.2500
```

Results
The calculation puts the calculated formation energy at 0.75 eV per atom. Its calculated volume is 92 Å³/cell. The total magnetic moment comes out at 0.00 μB per cell.


No. 6
Computed, not measured: a geometry-optimized ErZrScZn structure at the PBE level of DFT.

```
data_ErZrScZn
_chemical_formula_sum 'Er1 Zr1 Sc1 Zn1'
_cell_length_a 3.3243
_cell_length_b 3.3243
_cell_length_c 8.2346
_cell_angle_alpha 90.00
_cell_angle_beta 90.00
_cell_angle_gamma 90.00
_space_group_name_H-M_alt 'P 1'
_space_group_IT_number 1
loop_
_space_group_symop_operation_xyz
'x,y,z'
loop_
_atom_site_label
_atom_site_fract_x
_atom_site_fract_y
_atom_site_fract_z
Sc1 0.5000 0.5000 0.3465
Zr1 0.0000 0.0000 0.0848
Zn1 0.0000 0.0000 0.5554
Er1 0.5000 0.5000 0.7980
```

Results
The calculation puts the calculated formation energy at -0.16 eV per atom. Its calculated volume is 91 Å³/cell. The total magnetic moment comes out at 0.00 μB per cell.


No. 7
Computed, not measured: a geometry-optimized TbY2Pd2 structure at the PBE level of DFT.

```
data_TbY2Pd2
_chemical_formula_sum 'Tb2 Y4 Pd4'
_cell_length_a 4.0026
_cell_length_b 7.7954
_cell_length_c 7.7954
_cell_angle_alpha 90.00
_cell_angle_beta 90.00
_cell_angle_gamma 90.00
_space_group_name_H-M_alt 'P 1'
_space_group_IT_number 1
loop_
_space_group_symop_operation_xyz
'x,y,z'
loop_
_atom_site_label
_atom_site_fract_x
_atom_site_fract_y
_atom_site_fract_z
Y1 0.5000 0.8356 0.3356
Y2 0.5000 0.6644 0.8356
Y3 0.5000 0.1644 0.6644
Y4 0.5000 0.3356 0.1644
Tb1 0.0000 0.5000 0.5000
Tb2 0.0000 0.0000 0.0000
Pd1 0.0000 0.8673 0.6327
Pd2 0.0000 0.1327 0.3673
Pd3 0.0000 0.6327 0.1327
Pd4 0.0000 0.3673 0.8673
```

Results
The calculation puts the calculated formation energy at -0.72 eV per atom. Its calculated volume is 243 Å³/cell. The total magnetic moment comes out at 0.00 μB per cell.


No. 8
Computed, not measured: a geometry-optimized ScRu2Pb structure at the PBE level of DFT.

```
data_ScRu2Pb
_chemical_formula_sum 'Sc1 Ru2 Pb1'
_cell_length_a 5.3143
_cell_length_b 5.3143
_cell_length_c 5.3143
_cell_angle_alpha 136.64
_cell_angle_beta 136.64
_cell_angle_gamma 62.99
_space_group_name_H-M_alt 'P 1'
_space_group_IT_number 1
loop_
_space_group_symop_operation_xyz
'x,y,z'
loop_
_atom_site_label
_atom_site_fract_x
_atom_site_fract_y
_atom_site_fract_z
Ru1 0.0000 0.0000 0.0000
Ru2 0.2500 0.7500 0.5000
Sc1 0.5000 0.5000 0.0000
Pb1 0.7500 0.2500 0.5000
```

Results
The calculation puts the calculated formation energy at -0.01 eV per atom. Its calculated volume is 70 Å³/cell. The total magnetic moment comes out at 0.00 μB per cell.


Which value of calculated volume does entry 4 give? 143 Å³/cell


Which value of calculated volume does entry 7 give? 243 Å³/cell